This record from Alexandria describes BaH6CI3N3 after structural relaxation. The functional is PBE-GGA.

```
BaH6CI3N3
1.0
9.5343 0.0000 0.0000
0.0000 9.2043 0.0000
-9.5070 0.0000 16.5020
Ba H C I N
4 24 4 12 12
Cartesian
-2.3461 0.4158 4.1351
-7.0996 4.1864 12.3861
7.1269 5.0180 4.1159
2.3734 8.7885 12.3669
0.6230 2.3028 0.3165
-4.1305 2.2993 8.5675
-7.4198 2.0769 15.8719
-2.6663 2.5252 7.6209
-3.9825 1.9067 10.8562
0.7710 2.6955 2.6052
-4.2539 6.7112 14.3752
0.4996 7.0953 6.1242
-2.4107 1.8535 11.6435
2.3428 2.7486 3.3925
4.1731 2.2001 0.3969
-0.5804 2.4021 8.6479
0.6077 6.8023 7.8541
-4.1458 7.0042 16.1051
-2.3154 6.4557 13.1095
2.4381 7.3508 4.8585
-0.4722 2.1090 10.3778
4.2812 2.4932 2.1268
-0.7436 6.5089 13.8968
4.0099 7.2976 5.6458
2.6937 6.6791 8.8811
7.4472 7.1274 0.6301
4.1578 6.9050 7.9345
-0.5956 6.9015 16.1855
-2.3736 2.1835 9.6194
2.3799 2.4187 1.3684
-2.3525 6.7856 15.1336
2.4009 7.0209 6.8826
-7.6329 6.4945 14.9429
-2.8794 7.3120 6.6919
-4.6500 6.5035 11.5378
0.1035 7.3030 3.2868
-5.1729 1.8513 14.1106
-0.4194 2.7509 5.8596
0.4467 6.4534 10.6424
5.2002 7.3531 2.3914
-0.0761 1.9013 13.2152
4.6774 2.7009 4.9642
2.9068 1.8923 9.8101
7.6603 2.7099 1.5591
1.6383 2.2376 0.2696
-3.1152 2.3646 8.5206
-2.9667 1.9490 10.7954
1.7868 2.6532 2.5444
-1.0393 2.2372 9.5421
3.7142 2.3650 1.2911
-3.6869 6.8394 15.2109
1.0666 6.9671 6.9599
-1.7594 6.5512 13.9576
2.9941 7.2553 5.7066
3.1425 6.8397 7.9814
-1.6109 6.9668 16.2324
```

Values from the calculation:
Space group   P2_1/c (14)
DFT total energy   -280.5 eV/cell